(1)
Al2InFe after structural relaxation. Source: Alexandria, functional PBEsol.

Computed properties:
The calculated density is 5.9 g/cm3. For the formation energy, the calculation gives 0.179 eV/atom. As for the symmetry: No. 10. The value obtained for the electronic total energy is -4.853 eV/atom. Its density of states at the Fermi level is 0.81 states/eV per atom.

Lattice parameters (Å, degrees): 2.9358 4.7938 4.8528 111.88 90.00 90.00
Each line ends with the local moment (μB).
Positions (direct):
Al 0.5000 0.5000 0.0000  -0.01
Fe 0.5000 0.0000 0.5000  2.08
Al 0.0000 0.0000 0.0000  -0.01
In 0.0000 0.5000 0.5000  -0.03



(2)
Al2InFe after structural relaxation. Source: Alexandria, functional PBEsol.

Computed properties:
The calculated density is 5.7 g/cm3. For the formation energy, the calculation gives 0.063 eV/atom. As for the symmetry: No. 166. The value obtained for the electronic total energy is -4.970 eV/atom. Its density of states at the Fermi level is 0.51 states/eV per atom.

Lattice parameters (Å, degrees): 2.9586 2.9586 8.7521 80.27 80.27 60.00
Each line ends with the local moment (μB).
Positions (direct):
Al 0.2343 0.2343 0.2972  -0.02
Fe 0.5000 0.5000 0.5000  1.31
Al 0.7657 0.7657 0.7028  -0.02
In 0.0000 0.0000 0.0000  0.01



(3)
Al2FeIr after structural relaxation. Source: Alexandria, functional PBEsol.

Computed properties:
The calculated density is 10.1 g/cm3. For the formation energy, the calculation gives -0.676 eV/atom. As for the symmetry: No. 225. The value obtained for the electronic total energy is -7.419 eV/atom. Its density of states at the Fermi level is 0.88 states/eV per atom.

Lattice parameters (Å, degrees): 4.1320 4.1320 4.1320 60.00 60.00 60.00
Each line ends with the local moment (μB).
Positions (direct):
Ir 0.5000 0.5000 0.5000  0.01
Al 0.2500 0.2500 0.2500  0.00
Fe 0.0000 0.0000 0.0000  0.20
Al 0.7500 0.7500 0.7500  0.00



(4)
Al2FeIr after structural relaxation. Source: Alexandria, functional PBEsol.

Computed properties:
The calculated density is 9.4 g/cm3. For the formation energy, the calculation gives -0.337 eV/atom. As for the symmetry: No. 99. The value obtained for the electronic total energy is -7.080 eV/atom. Its density of states at the Fermi level is 0.73 states/eV per atom.

Lattice parameters (Å, degrees): 3.0810 3.0810 5.5949 90.00 90.00 90.00
Each line ends with the local moment (μB).
Positions (direct):
Al 0.0000 0.0000 0.9885  -0.01
Ir 0.5000 0.5000 0.7617  0.39
Al 0.5000 0.5000 0.2747  -0.04
Fe 0.0000 0.0000 0.4750  2.13



(5)
Al2FeIr after structural relaxation. Source: Alexandria, functional PBEsol.

Computed properties:
The calculated density is 8.5 g/cm3. For the formation energy, the calculation gives 0.116 eV/atom. As for the symmetry: No. 122. The value obtained for the electronic total energy is -6.627 eV/atom. Its density of states at the Fermi level is 0.71 states/eV per atom.

Lattice parameters (Å, degrees): 5.2930 5.4023 5.4023 76.11 60.67 60.67
Each line ends with the local moment (μB).
Positions (direct):
Al 0.6260 0.9990 0.4990  -0.02
Fe 0.2500 0.5000 0.5000  2.31
Ir 0.7500 0.5000 0.5000  0.15
Al 0.1240 0.0010 0.5010  -0.02
Fe 0.5000 0.0000 0.0000  2.31
Ir 0.0000 0.0000 0.0000  0.15
Al 0.8750 0.4990 0.0010  -0.02
Al 0.3750 0.5010 0.9990  -0.02



(6)
LaAlFeIr2 after structural relaxation. Source: Alexandria, functional PBEsol.

Computed properties:
The calculated density is 9.7 g/cm3. For the formation energy, the calculation gives 1.019 eV/atom. As for the symmetry: No. 123. The value obtained for the electronic total energy is -6.591 eV/atom. Its density of states at the Fermi level is 0.95 states/eV per atom.

Lattice parameters (Å, degrees): 4.4674 4.4674 5.2179 90.00 90.00 90.00
Each line ends with the local moment (μB).
Positions (direct):
La 0.0000 0.0000 0.5000  0.18
Ir 0.5000 0.0000 0.0000  -0.08
Ir 0.0000 0.5000 0.0000  -0.08
Al 0.0000 0.0000 0.0000  0.00
Fe 0.5000 0.5000 0.5000  -2.99